#one
Below is a relaxed Mn2VMo crystal, with properties calculated at the GGA-PBE level.

Geometry as CIF:
```
data_Mn2VMo
_chemical_formula_sum 'Mn2 V1 Mo1'
_symmetry_space_group_name_H-M 'P 4/m m m'
_symmetry_Int_Tables_number 123
_symmetry_space_group_name_Hall '-P 4 2'
_cell_length_a 2.905
_cell_length_b 2.905
_cell_length_c 5.975
_cell_angle_alpha 90.00
_cell_angle_beta 90.00
_cell_angle_gamma 90.00
loop_
_atom_site_label
_atom_site_fract_x
_atom_site_fract_y
_atom_site_fract_z
_atom_site_occupancy
Mn1 0.000 0.000 0.233 1
V1 0.500 0.500 0.000 1
Mo1 0.500 0.500 0.500 1
```

- Total magnetic moment: 0.0 μB/cell
- Fermi-level density of states: 3.0 states/eV/cell


#two
Below is a relaxed Mn2VMo crystal, with properties calculated at the GGA-PBE level.

Geometry as CIF:
```
data_Mn2VMo
_chemical_formula_sum 'Mn8 V4 Mo4'
_symmetry_space_group_name_H-M 'F m -3 m'
_symmetry_Int_Tables_number 225
_symmetry_space_group_name_Hall '-F 4 2 3'
_cell_length_a 5.876
_cell_length_b 5.876
_cell_length_c 5.876
_cell_angle_alpha 90.00
_cell_angle_beta 90.00
_cell_angle_gamma 90.00
loop_
_atom_site_label
_atom_site_fract_x
_atom_site_fract_y
_atom_site_fract_z
_atom_site_occupancy
Mn1 0.250 0.250 0.250 1
V1 0.000 0.000 0.000 1
Mo1 0.000 0.000 0.500 1
```

- Total magnetic moment: 0.0 μB/cell
- Fermi-level density of states: 14.1 states/eV/cell


#one is the most stable structure; the next one sits 16 meV per atom above it.


#one
Below is a relaxed Mn2V8Mo crystal, with properties calculated at the GGA-PBE level.

Geometry as CIF:
```
data_Mn2V8Mo
_chemical_formula_sum 'Mn4 V16 Mo2'
_symmetry_space_group_name_H-M 'C 1 2/m 1'
_symmetry_Int_Tables_number 12
_cell_length_a 12.986
_cell_length_b 4.911
_cell_length_c 4.703
_cell_angle_alpha 90.00
_cell_angle_beta 96.71
_cell_angle_gamma 90.00
loop_
_symmetry_equiv_pos_as_xyz
'x,y,z'
'-x,-y,-z'
'-x,y,-z'
'x,-y,z'
'x+1/2,y+1/2,z'
'-x+1/2,-y+1/2,-z'
'-x+1/2,y+1/2,-z'
'x+1/2,-y+1/2,z'
loop_
_atom_site_label
_atom_site_fract_x
_atom_site_fract_y
_atom_site_fract_z
_atom_site_occupancy
Mn1 0.241 0.000 0.365 1
V1 0.088 0.000 0.111 1
V2 0.096 0.254 0.608 1
V3 0.214 0.500 0.114 1
Mo1 0.000 0.500 0.000 1
```

- Total magnetic moment: 0.0 μB/cell
- Fermi-level density of states: 25.5 states/eV/cell


#two
Below is a relaxed Mn2V8Mo crystal, with properties calculated at the GGA-PBE level.

Geometry as CIF:
```
data_Mn2V8Mo
_chemical_formula_sum 'Mn4 V16 Mo2'
_symmetry_space_group_name_H-M 'C 1 2/m 1'
_symmetry_Int_Tables_number 12
_cell_length_a 8.646
_cell_length_b 8.450
_cell_length_c 4.499
_cell_angle_alpha 90.00
_cell_angle_beta 106.76
_cell_angle_gamma 90.00
loop_
_symmetry_equiv_pos_as_xyz
'x,y,z'
'-x,-y,-z'
'-x,y,-z'
'x,-y,z'
'x+1/2,y+1/2,z'
'-x+1/2,-y+1/2,-z'
'-x+1/2,y+1/2,-z'
'x+1/2,-y+1/2,z'
loop_
_atom_site_label
_atom_site_fract_x
_atom_site_fract_y
_atom_site_fract_z
_atom_site_occupancy
Mn1 0.000 0.145 0.000 1
V1 0.000 0.190 0.500 1
V2 0.183 0.343 0.144 1
V3 0.223 0.000 0.306 1
Mo1 0.000 0.500 0.500 1
```

- Total magnetic moment: 0.0 μB/cell
- Fermi-level density of states: 28.0 states/eV/cell


#one is the most stable structure; the next one sits 293 meV per atom above it.


#one
Below is a relaxed Mn3MoW crystal, with properties calculated at the GGA-PBE level.

Geometry as CIF:
```
data_Mn3MoW
_chemical_formula_sum 'Mn3 Mo1 W1'
_symmetry_space_group_name_H-M 'P m -3 m'
_symmetry_Int_Tables_number 221
_symmetry_space_group_name_Hall '-P 4 2 3'
_cell_length_a 4.371
_cell_length_b 4.371
_cell_length_c 4.371
_cell_angle_alpha 90.00
_cell_angle_beta 90.00
_cell_angle_gamma 90.00
loop_
_atom_site_label
_atom_site_fract_x
_atom_site_fract_y
_atom_site_fract_z
_atom_site_occupancy
Mn1 0.000 0.000 0.500 1
Mo1 0.500 0.500 0.500 1
W1 0.000 0.000 0.000 1
```

- Total magnetic moment: 1.9 μB/cell
- Fermi-level density of states: 8.1 states/eV/cell


#two
Below is a relaxed Mn3MoW crystal, with properties calculated at the GGA-PBE level.

Geometry as CIF:
```
data_Mn3MoW
_chemical_formula_sum 'Mn3 Mo1 W1'
_symmetry_space_group_name_H-M 'P m -3 m'
_symmetry_Int_Tables_number 221
_symmetry_space_group_name_Hall '-P 4 2 3'
_cell_length_a 4.306
_cell_length_b 4.306
_cell_length_c 4.306
_cell_angle_alpha 90.00
_cell_angle_beta 90.00
_cell_angle_gamma 90.00
loop_
_atom_site_label
_atom_site_fract_x
_atom_site_fract_y
_atom_site_fract_z
_atom_site_occupancy
Mn1 0.000 0.000 0.500 1
Mo1 0.000 0.000 0.000 1
W1 0.500 0.500 0.500 1
```

- Total magnetic moment: 0.0 μB/cell
- Fermi-level density of states: 8.0 states/eV/cell


#two is the most stable structure; the next one sits 38 meV per atom above it.